[1]
# Pa4Bi3H

A relaxed Pa4Bi3H crystal (PBE, Alexandria via LeMat-Bulk).

Cell and atoms, written as POSCAR:
```
Pa4Bi3H
1.0
-3.145 4.323 3.910
3.145 -4.323 3.910
3.145 4.323 -3.910
Pa Bi H
4 3 1
direct
0.158 0.000 0.158
0.371 0.085 0.714
0.371 0.658 0.286
0.842 0.000 0.842
0.338 0.593 0.745
0.764 0.264 0.500
0.848 0.593 0.255
0.217 0.217 0.000
```

total DFT energy (no corrections): -52.2 eV for the cell shown
total moment: 3.77 μB per formula unit

***

[2]
# Pa2BiH2

A relaxed Pa2BiH2 crystal (PBE, Alexandria via LeMat-Bulk).

Cell and atoms, written as POSCAR:
```
Pa2BiH2
1.0
0.000 5.164 5.717
3.056 0.000 5.717
3.056 5.164 0.000
Pa Bi H
4 2 4
direct
0.048 0.702 0.048
0.298 0.952 0.298
0.702 0.048 0.702
0.952 0.298 0.952
0.375 0.375 0.375
0.625 0.625 0.625
0.004 0.004 0.246
0.246 0.246 0.004
0.754 0.754 0.996
0.996 0.996 0.754
```

total DFT energy (no corrections): -61.5 eV for the cell shown
total moment: 3.07 μB per formula unit

***

[3]
# PaBiH6Ru2

A relaxed PaBiH6Ru2 crystal (PBE, Alexandria via LeMat-Bulk).

Cell and atoms, written as POSCAR:
```
PaBiH6Ru2
1.0
3.917 -4.765 0.000
3.917 4.765 0.000
-1.584 0.000 5.633
Pa Bi H Ru
2 2 12 4
direct
0.138 0.862 0.750
0.862 0.138 0.250
0.380 0.620 0.250
0.620 0.380 0.750
0.039 0.559 0.404
0.174 0.176 0.057
0.176 0.174 0.557
0.276 0.547 0.816
0.441 0.961 0.096
0.453 0.724 0.684
0.547 0.276 0.316
0.559 0.039 0.904
0.724 0.453 0.184
0.824 0.826 0.443
0.826 0.824 0.943
0.961 0.441 0.596
0.069 0.320 0.813
0.320 0.069 0.313
0.680 0.931 0.687
0.931 0.680 0.187
```

total DFT energy (no corrections): -105.2 eV for the cell shown
total moment: 0.00 μB per formula unit

***

[4]
# Pa2BiSbH2

A relaxed Pa2BiSbH2 crystal (PBE, Alexandria via LeMat-Bulk).

Cell and atoms, written as POSCAR:
```
Pa2BiSbH2
1.0
4.027 0.000 0.000
-2.014 3.488 0.000
0.000 0.000 8.597
Pa Bi Sb H
2 1 1 2
direct
0.333 0.667 0.242
0.667 0.333 0.758
0.000 0.000 0.500
0.000 0.000 0.000
0.333 0.667 0.752
0.667 0.333 0.248
```

total DFT energy (no corrections): -36.2 eV for the cell shown
total moment: 1.61 μB per formula unit

***

[5]
# Pa2SnBiH2

A relaxed Pa2SnBiH2 crystal (PBE, Alexandria via LeMat-Bulk).

Cell and atoms, written as POSCAR:
```
Pa2SnBiH2
1.0
4.013 0.000 0.000
-2.006 3.475 0.000
0.000 0.000 8.609
Pa Sn Bi H
2 1 1 2
direct
0.333 0.667 0.242
0.667 0.333 0.758
0.000 0.000 0.000
0.000 0.000 0.500
0.333 0.667 0.755
0.667 0.333 0.245
```

total DFT energy (no corrections): -35.3 eV for the cell shown
total moment: 0.60 μB per formula unit

***

[6]
# Pa2BiTeH2

A relaxed Pa2BiTeH2 crystal (PBE, Alexandria via LeMat-Bulk).

Cell and atoms, written as POSCAR:
```
Pa2BiTeH2
1.0
4.024 0.000 0.000
-2.012 3.485 0.000
0.000 0.000 8.664
Pa Bi Te H
2 1 1 2
direct
0.333 0.667 0.245
0.667 0.333 0.755
0.000 0.000 0.500
0.000 0.000 0.000
0.333 0.667 0.751
0.667 0.333 0.249
```

total DFT energy (no corrections): -35.6 eV for the cell shown
total moment: 1.97 μB per formula unit